# 1
Density functional theory data (PBE) for a geometry-optimized NiPd5Pt structure. Values from VASP.

Cell and atoms, written as Quantum ESPRESSO input:
```
&SYSTEM
  ibrav = 0, nat = 14, ntyp = 3
/
ATOMIC_SPECIES
Ni 58.69 Ni.upf
Pd 106.42 Pd.upf
Pt 195.08 Pt.upf
ATOMIC_POSITIONS crystal
Ni 0.000 0.000 0.000
Ni 0.500 0.000 0.500
Pd 0.249 0.297 0.548
Pd 0.249 0.701 0.952
Pd 0.250 0.000 0.750
Pd 0.250 0.500 0.250
Pd 0.463 0.213 0.250
Pd 0.537 0.787 0.750
Pd 0.750 0.000 0.250
Pd 0.750 0.500 0.750
Pd 0.751 0.299 0.048
Pd 0.751 0.703 0.452
Pt 0.039 0.789 0.250
Pt 0.961 0.211 0.750
CELL_PARAMETERS angstrom
-3.625 3.922 3.949
3.625 -3.922 3.949
3.625 3.922 -3.949
```

For the total energy, the calculation gives -5.2498 eV per atom. The total magnetization is 1.8 μB/f.u. As for the formation energy: 0.148 eV/atom. The density of states at the Fermi level is 25.0 states/eV per cell.


# 2
Density functional theory data (PBE) for a geometry-optimized LiGaFe structure. Values from VASP.

Cell and atoms, written as Quantum ESPRESSO input:
```
&SYSTEM
  ibrav = 0, nat = 6, ntyp = 3
/
ATOMIC_SPECIES
Li 6.94 Li.upf
Ga 69.72 Ga.upf
Fe 55.84 Fe.upf
ATOMIC_POSITIONS crystal
Li 0.000 0.000 0.000
Li 0.500 0.500 0.500
Ga 0.000 0.000 0.673
Ga 0.500 0.500 0.173
Fe 0.000 0.000 0.327
Fe 0.500 0.500 0.827
CELL_PARAMETERS angstrom
2.606 0.000 0.000
0.000 2.606 0.000
0.000 0.000 12.221
```

For the total energy, the calculation gives -4.4697 eV per atom. The total magnetization is 2.4 μB/f.u. As for the formation energy: -0.002 eV/atom. The density of states at the Fermi level is 2.0 states/eV per cell.


# 3
Density functional theory data (PBE) for a geometry-optimized AcMg2Zn3 structure. Values from VASP.

Cell and atoms, written as Quantum ESPRESSO input:
```
&SYSTEM
  ibrav = 0, nat = 6, ntyp = 3
/
ATOMIC_SPECIES
Ac 227.00 Ac.upf
Mg 24.30 Mg.upf
Zn 65.41 Zn.upf
ATOMIC_POSITIONS crystal
Ac 0.000 0.000 0.000
Mg 0.333 0.667 0.000
Mg 0.667 0.333 0.000
Zn 0.000 0.500 0.500
Zn 0.500 0.000 0.500
Zn 0.500 0.500 0.500
CELL_PARAMETERS angstrom
5.807 0.000 0.000
-2.903 5.029 0.000
0.000 0.000 4.491
```

For the total energy, the calculation gives -2.0398 eV per atom. The total magnetization is 0.0 μB/f.u. As for the formation energy: -0.187 eV/atom. The density of states at the Fermi level is 1.7 states/eV per cell.


# 4
Density functional theory data (PBE) for a geometry-optimized CsK2TlO structure. Values from VASP.

Cell and atoms, written as Quantum ESPRESSO input:
```
&SYSTEM
  ibrav = 0, nat = 5, ntyp = 4
/
ATOMIC_SPECIES
Cs 132.91 Cs.upf
K 39.10 K.upf
Tl 204.38 Tl.upf
O 16.00 O.upf
ATOMIC_POSITIONS crystal
Cs 0.000 0.000 0.000
K 0.000 0.500 0.500
K 0.500 0.000 0.500
Tl 0.500 0.500 0.000
O 0.000 0.000 0.500
CELL_PARAMETERS angstrom
5.519 0.000 0.000
0.000 5.519 0.000
0.000 0.000 6.052
```

For the total energy, the calculation gives -2.5179 eV per atom. The total magnetization is 0.7 μB/f.u. The density of states at the Fermi level is 4.4 states/eV per cell. The energy relative to the elements, uncorrected is -0.443 eV per atom.


# 5
Density functional theory data (PBE) for a geometry-optimized DyY3Ru structure. Values from VASP.

Cell and atoms, written as Quantum ESPRESSO input:
```
&SYSTEM
  ibrav = 0, nat = 5, ntyp = 3
/
ATOMIC_SPECIES
Dy 162.50 Dy.upf
Y 88.91 Y.upf
Ru 101.07 Ru.upf
ATOMIC_POSITIONS crystal
Dy 0.000 0.000 0.000
Y 0.000 0.500 0.500
Y 0.500 0.000 0.500
Y 0.500 0.500 0.000
Ru 0.500 0.500 0.500
CELL_PARAMETERS angstrom
5.400 0.000 0.000
0.000 5.400 0.000
0.000 0.000 5.400
```

For the total energy, the calculation gives -6.6983 eV per atom. The total magnetization is 0.0 μB/f.u. As for the formation energy: -0.044 eV/atom. The density of states at the Fermi level is 7.5 states/eV per cell.


# 6
Density functional theory data (PBE) for a geometry-optimized SmCuRh structure. Values from VASP.

Cell and atoms, written as Quantum ESPRESSO input:
```
&SYSTEM
  ibrav = 0, nat = 6, ntyp = 3
/
ATOMIC_SPECIES
Sm 150.36 Sm.upf
Cu 63.55 Cu.upf
Rh 102.91 Rh.upf
ATOMIC_POSITIONS crystal
Sm 0.000 0.000 0.000
Sm 0.500 0.500 0.500
Cu 0.000 0.000 0.692
Cu 0.500 0.500 0.192
Rh 0.000 0.000 0.319
Rh 0.500 0.500 0.819
CELL_PARAMETERS angstrom
3.480 0.000 0.000
0.000 3.480 0.000
0.000 0.000 9.259
```

For the total energy, the calculation gives -5.7034 eV per atom. The total magnetization is 0.0 μB/f.u. As for the formation energy: -0.314 eV/atom. The density of states at the Fermi level is 4.0 states/eV per cell.


# 7
Density functional theory data (PBE) for a geometry-optimized PbS2N structure. Values from VASP.

Cell and atoms, written as Quantum ESPRESSO input:
```
&SYSTEM
  ibrav = 0, nat = 12, ntyp = 3
/
ATOMIC_SPECIES
Pb 207.20 Pb.upf
S 32.06 S.upf
N 14.01 N.upf
ATOMIC_POSITIONS crystal
Pb 0.000 0.000 0.000
Pb 0.333 0.667 0.667
Pb 0.667 0.333 0.333
S 0.000 0.000 0.434
S 0.000 0.000 0.566
S 0.333 0.667 0.101
S 0.333 0.667 0.232
S 0.667 0.333 0.768
S 0.667 0.333 0.899
N 0.000 0.000 0.500
N 0.333 0.667 0.167
N 0.667 0.333 0.833
CELL_PARAMETERS angstrom
3.631 0.000 0.000
-1.816 3.145 0.000
0.000 0.000 23.619
```

For the total energy, the calculation gives -4.5980 eV per atom. The total magnetization is 0.0 μB/f.u. The density of states at the Fermi level is 6.0 states/eV per cell. The energy relative to the elements, uncorrected is 0.474 eV per atom.


# 8
Density functional theory data (PBE) for a geometry-optimized TbDyMg3 structure. Values from VASP.

Cell and atoms, written as Quantum ESPRESSO input:
```
&SYSTEM
  ibrav = 0, nat = 20, ntyp = 3
/
ATOMIC_SPECIES
Tb 158.93 Tb.upf
Dy 162.50 Dy.upf
Mg 24.30 Mg.upf
ATOMIC_POSITIONS crystal
Tb 0.077 0.321 0.448
Tb 0.321 0.077 0.948
Tb 0.679 0.923 0.052
Tb 0.923 0.679 0.552
Dy 0.127 0.873 0.750
Dy 0.372 0.628 0.250
Dy 0.628 0.372 0.750
Dy 0.873 0.127 0.250
Mg 0.026 0.778 0.152
Mg 0.163 0.449 0.055
Mg 0.222 0.974 0.348
Mg 0.274 0.505 0.639
Mg 0.449 0.163 0.555
Mg 0.495 0.726 0.861
Mg 0.505 0.274 0.139
Mg 0.551 0.837 0.445
Mg 0.726 0.495 0.361
Mg 0.778 0.026 0.652
Mg 0.837 0.551 0.945
Mg 0.974 0.222 0.848
CELL_PARAMETERS angstrom
10.176 -5.230 0.000
10.176 5.230 0.000
-1.316 0.000 5.009
```

For the total energy, the calculation gives -2.8352 eV per atom. The total magnetization is 0.0 μB/f.u. As for the formation energy: -0.032 eV/atom. The density of states at the Fermi level is 22.1 states/eV per cell.


# 9
Density functional theory data (PBE) for a geometry-optimized La3TmCd4 structure. Values from VASP.

Cell and atoms, written as Quantum ESPRESSO input:
```
&SYSTEM
  ibrav = 0, nat = 8, ntyp = 3
/
ATOMIC_SPECIES
La 138.91 La.upf
Tm 168.93 Tm.upf
Cd 112.41 Cd.upf
ATOMIC_POSITIONS crystal
La 0.000 0.000 0.000
La 0.000 0.000 0.259
La 0.000 0.000 0.741
Tm 0.000 0.000 0.500
Cd 0.500 0.500 0.128
Cd 0.500 0.500 0.393
Cd 0.500 0.500 0.607
Cd 0.500 0.500 0.872
CELL_PARAMETERS angstrom
3.823 0.000 0.000
0.000 3.823 0.000
0.000 0.000 15.929
```

For the total energy, the calculation gives -3.1797 eV per atom. The total magnetization is 1.3 μB/f.u. As for the formation energy: -0.315 eV/atom. The density of states at the Fermi level is 9.9 states/eV per cell.


# 10
Density functional theory data (PBE) for a geometry-optimized MgZr2As2 structure. Values from VASP.

Cell and atoms, written as Quantum ESPRESSO input:
```
&SYSTEM
  ibrav = 0, nat = 10, ntyp = 3
/
ATOMIC_SPECIES
Mg 24.30 Mg.upf
Zr 91.22 Zr.upf
As 74.92 As.upf
ATOMIC_POSITIONS crystal
Mg 0.000 0.000 0.000
Mg 0.500 0.500 0.000
Zr 0.140 0.360 0.000
Zr 0.360 0.860 0.000
Zr 0.640 0.140 0.000
Zr 0.860 0.640 0.000
As 0.154 0.654 0.500
As 0.346 0.154 0.500
As 0.654 0.846 0.500
As 0.846 0.346 0.500
CELL_PARAMETERS angstrom
7.643 0.000 0.000
0.000 7.643 0.000
0.000 0.000 3.521
```

For the total energy, the calculation gives -6.1913 eV per atom. The total magnetization is 0.0 μB/f.u. As for the formation energy: -0.593 eV/atom. The density of states at the Fermi level is 5.2 states/eV per cell.


# 11
Density functional theory data (PBE) for a geometry-optimized Pr6AgHg3 structure. Values from VASP.

Cell and atoms, written as Quantum ESPRESSO input:
```
&SYSTEM
  ibrav = 0, nat = 20, ntyp = 3
/
ATOMIC_SPECIES
Pr 140.91 Pr.upf
Ag 107.87 Ag.upf
Hg 200.59 Hg.upf
ATOMIC_POSITIONS crystal
Pr 0.028 0.250 0.408
Pr 0.161 0.750 0.178
Pr 0.247 0.250 0.998
Pr 0.353 0.750 0.815
Pr 0.369 0.250 0.350
Pr 0.406 0.250 0.631
Pr 0.594 0.750 0.369
Pr 0.631 0.750 0.650
Pr 0.647 0.250 0.185
Pr 0.753 0.750 0.002
Pr 0.839 0.250 0.822
Pr 0.972 0.750 0.592
Ag 0.451 0.750 0.094
Ag 0.549 0.250 0.906
Hg 0.030 0.750 0.878
Hg 0.116 0.250 0.715
Hg 0.271 0.750 0.475
Hg 0.729 0.250 0.525
Hg 0.884 0.750 0.285
Hg 0.970 0.250 0.122
CELL_PARAMETERS angstrom
9.425 0.000 0.000
0.000 5.478 0.000
-3.850 0.000 11.462
```

For the total energy, the calculation gives -3.5353 eV per atom. The total magnetization is 0.0 μB/f.u. As for the formation energy: -0.292 eV/atom. The density of states at the Fermi level is 23.8 states/eV per cell.


# 12
Density functional theory data (PBE) for a geometry-optimized NaSmBr2 structure. Values from VASP.

Cell and atoms, written as Quantum ESPRESSO input:
```
&SYSTEM
  ibrav = 0, nat = 12, ntyp = 3
/
ATOMIC_SPECIES
Na 22.99 Na.upf
Sm 150.36 Sm.upf
Br 79.90 Br.upf
ATOMIC_POSITIONS crystal
Na 0.000 0.000 0.000
Na 0.333 0.667 0.667
Na 0.667 0.333 0.333
Sm 0.000 0.000 0.500
Sm 0.333 0.667 0.167
Sm 0.667 0.333 0.833
Br 0.000 0.000 0.102
Br 0.000 0.000 0.898
Br 0.333 0.667 0.565
Br 0.333 0.667 0.769
Br 0.667 0.333 0.231
Br 0.667 0.333 0.435
CELL_PARAMETERS angstrom
3.838 0.000 0.000
-1.919 3.324 0.000
0.000 0.000 30.959
```

For the total energy, the calculation gives -3.5409 eV per atom. The total magnetization is 0.0 μB/f.u. The density of states at the Fermi level is 7.4 states/eV per cell. The energy relative to the elements, uncorrected is -1.195 eV per atom.


# 13
Density functional theory data (PBE) for a geometry-optimized HfBeAg3 structure. Values from VASP.

Cell and atoms, written as Quantum ESPRESSO input:
```
&SYSTEM
  ibrav = 0, nat = 5, ntyp = 3
/
ATOMIC_SPECIES
Hf 178.49 Hf.upf
Be 9.01 Be.upf
Ag 107.87 Ag.upf
ATOMIC_POSITIONS crystal
Hf 0.000 0.000 0.000
Be 0.500 0.500 0.500
Ag 0.000 0.500 0.500
Ag 0.500 0.000 0.500
Ag 0.500 0.500 0.000
CELL_PARAMETERS angstrom
4.437 0.000 0.000
0.000 4.437 0.000
0.000 0.000 4.437
```

For the total energy, the calculation gives -4.0816 eV per atom. The total magnetization is 0.0 μB/f.u. As for the formation energy: 0.365 eV/atom. The density of states at the Fermi level is 4.7 states/eV per cell.